A plane-wave DFT calculation with PBE was carried out for LuGaAgPd after structural relaxation.

Results
The formation enthalpy at 0 K is -0.551 eV per atom. The calculated total energy is -17.798 eV per cell. The crystal system is cubic.

a b c (Å): 4.697 4.697 4.697
angles (deg): 60.00 60.00 60.00
Positions (direct):
Lu1 0.000 0.000 0.000
Ga1 0.500 0.500 0.500
Ag1 0.750 0.750 0.750
Pd1 0.250 0.250 0.250

A plane-wave DFT calculation with PBE was carried out for PmLuGaAg after structural relaxation.

Results
The formation enthalpy at 0 K is -0.436 eV per atom. The calculated total energy is -16.893 eV per cell. The crystal system is cubic.

a b c (Å): 5.132 5.132 5.132
angles (deg): 60.00 60.00 60.00
Positions (direct):
Pm1 0.000 0.000 0.000
Lu1 0.500 0.500 0.500
Ga1 0.250 0.250 0.250
Ag1 0.750 0.750 0.750